# 1
Density functional theory data (GGA+U) for a geometry-optimized GaAg2MoO structure.

Lattice parameters (Å, degrees): 4.5818 4.5818 4.3251 90.00 90.00 90.00
Atoms (fractional coordinates):
Ga  0.0000  0.0000  0.0000
Ag  0.0000  0.5000  0.5000
Ag  0.5000  0.0000  0.5000
Mo  0.5000  0.5000  0.0000
O  0.0000  0.0000  0.5000

## Properties
The space-group type is No. 123. Its crystal system is tetragonal. As for the total DFT energy (no corrections): -3.761 eV per atom.


# 2
Density functional theory data (GGA+U) for a geometry-optimized GaAgMo2O8 structure.

Lattice parameters (Å, degrees): 5.7364 5.7364 6.5208 90.00 90.00 120.00
Atoms (fractional coordinates):
Ga  0.0000  0.0000  0.0000
Ag  0.0000  0.0000  0.5000
Mo  0.3333  0.6667  0.2683
Mo  0.6667  0.3333  0.7317
O  0.1578  0.8395  0.1831
O  0.1605  0.3183  0.1831
O  0.3183  0.1578  0.8169
O  0.3333  0.6667  0.5352
O  0.6667  0.3333  0.4648
O  0.6817  0.8422  0.1831
O  0.8395  0.6817  0.8169
O  0.8422  0.1605  0.8169

## Properties
The space-group type is No. 147. Its crystal system is trigonal. As for the total DFT energy (no corrections): -6.380 eV per atom.